(1)
PaGa2Co, relaxed, DFT GGA-PBE; E_form = -0.518 eV per atom; space group = Cmmm (65)
1.0
-1.4074 1.4156 3.7654
-3.3829 -2.5742 -0.2967
3.3188 -1.8448 1.9341
Pa Co Ga
1 1 2
direct
0.5000 0.5000 0.0000
0.5000 0.0000 0.5000
0.0000 0.1770 0.3230
0.0000 0.8230 0.6770

***

(2)
RePbW2, relaxed, DFT GGA-PBE; E_form = 0.733 eV per atom; space group = R-3m (166)
1.0
-7.4761 -5.5740 2.7307
-6.5377 -7.1752 0.4388
-5.3016 -7.5331 3.0924
Re Pb W
1 1 2
direct
0.7500 0.7500 0.7500
0.2500 0.2500 0.2500
0.4916 0.4916 0.4916
0.0084 0.0084 0.0084

***

(3)
LiTm6S8, relaxed, DFT GGA-PBE; energy relative to the lowest polymorph listed for this composition = 0.0000 eV/atom; raw formation energy = -2865 kJ/mol of formula units; space group = Fm-3m (225)
1.0
6.6199 0.0000 3.8220
2.2066 6.2413 3.8220
0.0000 0.0000 7.6440
S Tm Li
8 6 1
direct
0.7500 0.7500 0.7500
0.2463 0.7537 0.2463
0.7537 0.2463 0.2463
0.2463 0.2463 0.7537
0.7537 0.2463 0.7537
0.2463 0.7537 0.7537
0.2500 0.2500 0.2500
0.7537 0.7537 0.2463
0.0000 0.0000 0.5000
0.5000 0.5000 0.0000
0.0000 0.5000 0.0000
0.0000 0.5000 0.5000
0.5000 0.0000 0.0000
0.5000 0.0000 0.5000
0.0000 0.0000 0.0000

***

| no. | M_tot (μB per formula unit) |
| --- | --- |
| 1 | 0.0 |
| 2 | 0.0 |
| 3 | 0.0 |